First-principles (GGA+U) data for crystalline KFeOF2 at its relaxed geometry, as listed in Alexandria via LeMat-Bulk.

Cell: 4.2195 4.2195 3.7943 Å, 90.00 90.00 90.00°
Each line ends with the local moment (μB).
Positions (direct):
K 0.5000 0.5000 0.5000  0.00
Fe 0.0000 0.0000 0.0000  4.38
O 0.0000 0.0000 0.5000  0.33
F 0.0000 0.5000 0.0000  0.09
F 0.5000 0.0000 0.0000  0.09

Properties
- E above lowest polymorph: 0 meV/atom
- VASP energy: -5.28 eV per atom